(1)
Below is crystalline Nb3VC at its relaxed geometry, with properties calculated at the GGA-PBE level.

extended XYZ file:
```
10
Lattice="3.034 0.000 0.000 0.000 8.978 0.000 -1.398 0.000 5.651" Properties=species:S:1:pos:R:3 pbc="T T T"
Nb 0.000 2.245 0.004
Nb 1.637 6.734 5.647
Nb 0.136 0.002 4.123
Nb 0.136 4.487 4.123
Nb 1.500 8.976 1.528
Nb 1.500 4.491 1.528
V -0.695 6.734 2.830
V 2.331 2.245 2.821
C 0.000 0.000 0.000
C 0.000 4.489 0.000
```

Values from the calculation:
D(E_F) ... 0.90 states/eV/atom
Uncorrected energy ... -0.362 Ha/atom
Space-group type ... P2_1/m, No. 11
ΔH_f (0 K) ... -0.77 eV per formula unit

(2)
Below is crystalline NbV2C2 at its relaxed geometry, with properties calculated at the GGA-PBE level.

extended XYZ file:
```
5
Lattice="1.520 0.878 7.060 -1.520 0.878 7.060 0.000 -1.755 7.060" Properties=species:S:1:pos:R:3 pbc="T T T"
Nb 0.000 0.000 0.000
V 0.000 0.000 4.648
V 0.000 0.000 16.533
C 0.000 0.000 8.465
C 0.000 0.000 12.717
```

Values from the calculation:
D(E_F) ... 0.43 states/eV/atom
Uncorrected energy ... -0.361 Ha/atom
Space-group type ... R-3m, No. 166
ΔH_f (0 K) ... -2.30 eV per formula unit